1.
This record from Alexandria describes a geometry-optimized CdHg2AsO4 structure. The functional is GGA-PBE.

Geometry as extended XYZ:
```
8
Lattice="5.114 0.198 -0.003 0.221 6.833 0.003 -2.660 -3.519 3.960" Properties=species:S:1:pos:R:3 pbc="T T T"
Cd 2.566 0.095 3.403
Hg 2.558 0.097 0.399
Hg 0.003 0.002 1.741
As 2.670 3.513 1.875
O 1.828 2.368 2.884
O 3.789 2.663 0.872
O 1.546 4.367 0.880
O -1.820 -2.377 2.887
```

Computed properties:
ΔE_f (raw)   -76 kJ per mole of atoms

=====

2.
This record from Alexandria describes a geometry-optimized Nd2HoTm6Sc3 structure. The functional is GGA-PBE.

Geometry as extended XYZ:
```
12
Lattice="6.026 0.000 -0.009 -3.012 5.220 -0.009 -0.987 -1.708 11.260" Properties=species:S:1:pos:R:3 pbc="T T T"
Nd 0.000 3.480 -0.009
Nd 3.014 1.739 -0.009
Ho 0.000 0.000 0.000
Tm 3.025 1.766 8.308
Tm 2.016 3.492 2.924
Tm -0.998 1.745 2.934
Tm 0.018 3.503 8.308
Tm 0.011 0.020 8.318
Tm 2.010 0.008 2.934
Sc -2.001 3.497 5.621
Sc 4.029 0.014 5.621
Sc 1.014 1.756 5.621
```

Computed properties:
Formation enthalpy at 0 K   1.1 kcal/mol of atoms

=====

3.
This record from Alexandria describes a geometry-optimized U2VTc structure. The functional is GGA-PBE.

Geometry as extended XYZ:
```
4
Lattice="-1.632 -2.398 -4.030 2.611 -3.792 -1.860 -1.446 -4.284 0.076" Properties=species:S:1:pos:R:3 pbc="T T T"
U -0.445 -7.973 -4.252
U -0.023 -2.500 -1.562
Tc 0.000 0.000 0.000
V -0.234 -5.237 -2.907
```

Computed properties:
Formation enthalpy at 0 K   6.3 kcal/mol of atoms

=====

4.
This record from Alexandria describes a geometry-optimized ErTaAlO6 structure. The functional is GGA-PBE.

Geometry as extended XYZ:
```
9
Lattice="-2.004 0.327 -4.357 2.666 -4.114 -1.536 -4.653 -0.591 2.096" Properties=species:S:1:pos:R:3 pbc="T T T"
Er -2.213 -1.765 0.885
Ta -0.775 -2.776 -2.503
Al -1.002 0.164 -2.178
O -2.738 -3.030 -2.788
O -0.673 -1.102 -3.593
O -0.240 -3.978 -4.008
O -1.112 -1.414 -1.078
O 1.207 -2.786 -2.248
O -1.098 -4.343 -1.305
```

Computed properties:
ΔE_f (raw)   -275 kJ per mole of atoms

=====

5.
This record from Alexandria describes a geometry-optimized Tl3In structure. The functional is GGA-PBE.

Geometry as extended XYZ:
```
4
Lattice="5.986 0.000 0.000 0.000 5.986 0.000 0.000 0.000 5.986" Properties=species:S:1:pos:R:3 pbc="T T T"
In 0.000 0.000 0.000
Tl 2.993 0.000 0.000
Tl 0.000 2.993 0.000
Tl 0.000 0.000 2.993
```

Computed properties:
Formation enthalpy at 0 K   10.6 kcal/mol of atoms

=====

6.
This record from Alexandria describes a geometry-optimized Hf2NiSb4 structure. The functional is GGA-PBE.

Geometry as extended XYZ:
```
7
Lattice="-2.990 3.153 -2.649 1.361 -2.332 -4.313 -6.117 -4.015 -2.762" Properties=species:S:1:pos:R:3 pbc="T T T"
Sb -4.166 -2.387 -3.026
Sb -3.579 -0.808 -6.697
Sb 0.681 -1.166 -2.156
Sb -1.495 1.576 -1.324
Hf -1.990 -0.571 -3.321
Hf -5.755 -2.623 -6.402
Ni 0.000 0.000 0.000
```

Computed properties:
ΔE_f (raw)   17 kJ per mole of atoms

=====

7.
This record from Alexandria describes a geometry-optimized NaAg2Os2 structure. The functional is GGA-PBE.

Geometry as extended XYZ:
```
5
Lattice="4.374 0.000 0.000 0.000 4.374 0.000 2.187 2.187 5.367" Properties=species:S:1:pos:R:3 pbc="T T T"
Na 0.000 0.000 0.000
Os 2.187 2.187 1.103
Os 4.374 4.374 4.265
Ag 4.374 2.187 2.684
Ag 2.187 4.374 2.684
```

Computed properties:
Formation enthalpy at 0 K   25.3 kcal/mol of atoms

=====

8.
This record from Alexandria describes a geometry-optimized CsPuGeO6 structure. The functional is GGA-PBE.

Geometry as extended XYZ:
```
9
Lattice="5.257 0.000 0.000 2.629 4.553 0.000 0.000 0.000 6.912" Properties=species:S:1:pos:R:3 pbc="T T T"
Cs 7.886 4.552 6.912
Pu 5.257 3.035 3.456
Ge 2.629 1.518 3.456
O 1.033 1.671 2.359
O 1.964 0.059 4.553
O 4.224 1.671 4.553
O 1.698 2.822 4.553
O 3.559 2.822 2.359
O 3.293 0.059 2.359
```

Computed properties:
ΔE_f (raw)   -183 kJ per mole of atoms

=====

9.
This record from Alexandria describes a geometry-optimized FeAsPt structure. The functional is GGA-PBE.

Geometry as extended XYZ:
```
3
Lattice="-0.068 -3.222 2.651 3.088 2.800 0.198 -1.577 1.604 1.909" Properties=species:S:1:pos:R:3 pbc="T T T"
As -0.115 0.117 0.139
Fe 1.696 1.138 1.427
Pt -0.138 -0.074 3.192
```

Computed properties:
Formation enthalpy at 0 K   0.4 kcal/mol of atoms

=====

10.
This record from Alexandria describes a geometry-optimized BaNp4Rh3S12 structure. The functional is GGA-PBE.

Geometry as extended XYZ:
```
20
Lattice="8.388 0.000 0.000 -2.796 7.908 0.000 -2.796 -3.954 6.849" Properties=species:S:1:pos:R:3 pbc="T T T"
Ba 0.000 0.000 0.000
Np 4.194 0.000 0.000
Np 1.398 1.977 3.424
Np -1.398 3.954 0.000
Np -1.398 -1.977 3.424
Rh -2.796 1.977 3.424
Rh 2.796 3.954 0.000
Rh 2.796 -1.977 3.424
S -0.126 6.021 1.070
S 2.922 -2.066 5.778
S 1.922 4.572 3.579
S 4.718 4.768 1.100
S 5.718 -0.017 2.170
S -0.874 2.523 2.170
S 2.670 1.871 1.100
S -2.922 3.971 4.679
S 0.874 -0.618 3.270
S -1.922 -0.814 5.749
S 3.670 1.432 4.679
S 0.126 2.083 5.749
```

Computed properties:
ΔE_f (raw)   -91 kJ per mole of atoms

=====

11.
This record from Alexandria describes a geometry-optimized Pm3DyZn8 structure. The functional is GGA-PBE.

Geometry as extended XYZ:
```
12
Lattice="-0.787 -0.138 5.480 -3.656 -3.540 2.184 4.992 -7.435 3.328" Properties=species:S:1:pos:R:3 pbc="T T T"
Pm 2.707 -7.889 5.787
Pm 4.988 -7.431 3.328
Pm 0.283 -5.564 5.497
Dy -2.025 -5.996 7.953
Zn -1.387 -3.088 6.714
Zn -0.353 -8.473 6.738
Zn -0.995 -3.019 3.983
Zn -0.745 -8.542 9.466
Zn 1.353 -3.944 2.893
Zn 1.623 -9.495 8.389
Zn -2.817 -4.783 5.072
Zn 1.075 -6.780 8.379
```

Computed properties:
Formation enthalpy at 0 K   -7.5 kcal/mol of atoms

=====

12.
This record from Alexandria describes a geometry-optimized K2HoNpSe4 structure. The functional is GGA-PBE.

Geometry as extended XYZ:
```
8
Lattice="4.238 0.000 0.000 0.000 7.360 0.125 0.000 -2.585 7.623" Properties=species:S:1:pos:R:3 pbc="T T T"
K 2.119 -1.293 3.811
K 0.000 2.387 3.874
Ho 2.119 3.680 0.062
Np 0.000 0.000 0.000
Se 2.119 1.229 1.593
Se 2.119 3.546 6.154
Se 0.000 -0.068 6.092
Se 0.000 4.843 1.656
```

Computed properties:
ΔE_f (raw)   -145 kJ per mole of atoms

=====

13.
This record from Alexandria describes a geometry-optimized HfVN structure. The functional is GGA-PBE.

Geometry as extended XYZ:
```
3
Lattice="4.806 0.000 0.000 0.000 3.075 0.000 0.000 -1.537 2.663" Properties=species:S:1:pos:R:3 pbc="T T T"
N 1.522 0.000 1.775
Hf 2.840 1.537 0.888
V 0.445 0.000 0.000
```

Computed properties:
ΔE_f (raw)   -96 kJ per mole of atoms

=====

14.
This record from Alexandria describes a geometry-optimized SmWN2 structure. The functional is GGA-PBE.

Geometry as extended XYZ:
```
4
Lattice="-1.448 -2.461 -1.302 1.468 0.575 -2.716 4.162 -2.338 3.570" Properties=species:S:1:pos:R:3 pbc="T T T"
Sm 1.923 -0.573 -1.867
W 3.276 -2.500 0.271
N 1.597 -2.979 -0.737
N 3.494 -3.536 1.985
```

Computed properties:
ΔE_f (raw)   -50 kJ per mole of atoms

=====

15.
This record from Alexandria describes a geometry-optimized Ba2YHoO5 structure. The functional is GGA-PBE.

Geometry as extended XYZ:
```
18
Lattice="3.684 0.000 0.000 -1.842 7.203 0.000 0.000 0.000 12.397" Properties=species:S:1:pos:R:3 pbc="T T T"
Ba 1.842 5.023 9.804
Ba 0.000 1.294 8.345
Ba 0.000 2.180 3.606
Ba 1.842 5.909 2.146
Y 1.842 0.473 11.806
Y 0.000 6.729 5.608
Ho 1.842 3.953 6.474
Ho 0.000 3.249 0.276
O 0.000 5.461 0.027
O 1.842 2.791 11.327
O 0.000 7.081 9.726
O 0.000 3.880 8.012
O 1.842 6.275 6.677
O 1.842 1.741 6.225
O 0.000 4.411 5.129
O 1.842 0.122 3.528
O 1.842 3.322 1.814
O 0.000 0.927 0.479
```

Computed properties:
ΔE_f (raw)   -293 kJ per mole of atoms

=====

16.
This record from Alexandria describes a geometry-optimized AcEr2TmHg4 structure. The functional is GGA-PBE.

Geometry as extended XYZ:
```
8
Lattice="-0.996 4.358 2.767 -4.754 0.740 2.118 0.834 -2.532 9.282" Properties=species:S:1:pos:R:3 pbc="T T T"
Ac 0.000 0.000 0.000
Er -3.738 2.003 10.483
Er -1.178 0.563 3.684
Tm -2.458 1.283 7.084
Hg -1.528 -0.147 9.670
Hg -4.690 3.467 7.835
Hg -0.226 -0.901 6.333
Hg -3.388 2.713 4.497
```

Computed properties:
Formation enthalpy at 0 K   -10.2 kcal/mol of atoms

=====

17.
This record from Alexandria describes a geometry-optimized RuSeF2 structure. The functional is GGA-PBE.

Geometry as extended XYZ:
```
4
Lattice="-0.748 10.070 0.420 1.003 9.745 2.484 1.929 9.920 -0.074" Properties=species:S:1:pos:R:3 pbc="T T T"
Ru 0.000 0.000 0.000
Se 1.092 14.867 1.415
F 2.047 27.869 2.652
F 0.137 1.865 0.178
```

Computed properties:
ΔE_f (raw)   -61 kJ per mole of atoms

=====

18.
This record from Alexandria describes a geometry-optimized InSbBr2 structure. The functional is GGA-PBE.

Geometry as extended XYZ:
```
4
Lattice="-1.846 2.060 -2.445 -1.805 -1.755 2.699 1.073 7.952 5.889" Properties=species:S:1:pos:R:3 pbc="T T T"
Sb -1.021 6.116 4.544
Br 1.064 7.880 5.836
Br 0.546 4.048 2.998
In -1.557 2.140 1.600
```

Computed properties:
ΔE_f (raw)   -19 kJ per mole of atoms

=====

19.
This record from Alexandria describes a geometry-optimized Ce2ErPu structure. The functional is GGA-PBE.

Geometry as extended XYZ:
```
4
Lattice="-2.197 -4.147 0.368 4.299 -2.244 0.383 -0.163 0.515 4.834" Properties=species:S:1:pos:R:3 pbc="T T T"
Er 0.970 -2.938 2.793
Ce -0.081 0.257 2.417
Ce 2.150 -1.122 0.192
Pu -1.099 -2.073 0.184
```

Computed properties:
Formation enthalpy at 0 K   2.7 kcal/mol of atoms

=====

20.
This record from Alexandria describes a geometry-optimized SnAuF structure. The functional is GGA-PBE.

Geometry as extended XYZ:
```
3
Lattice="-1.510 -3.558 -0.487 2.621 -1.453 2.490 -3.832 3.356 2.944" Properties=species:S:1:pos:R:3 pbc="T T T"
Au -0.286 0.074 0.345
Sn -3.275 0.850 3.944
F -2.009 0.521 2.419
```

Computed properties:
ΔE_f (raw)   -92 kJ per mole of atoms

=====

21.
This record from Alexandria describes a geometry-optimized Tb2Y structure. The functional is GGA-PBE.

Geometry as extended XYZ:
```
3
Lattice="-4.001 1.221 -0.161 -0.585 -2.388 -3.389 0.863 -3.663 5.009" Properties=species:S:1:pos:R:3 pbc="T T T"
Y -2.293 -0.583 -1.775
Tb -0.474 -1.409 1.073
Tb -3.249 -3.420 0.386
```

Computed properties:
Formation enthalpy at 0 K   2.8 kcal/mol of atoms

=====

22.
This record from Alexandria describes a geometry-optimized Ca2LaFe structure. The functional is GGA-PBE.

Geometry as extended XYZ:
```
4
Lattice="-1.824 -0.040 -2.985 -1.414 -3.068 0.906 -7.451 4.760 4.490" Properties=species:S:1:pos:R:3 pbc="T T T"
Ca -0.467 0.298 0.281
Ca -3.259 2.082 1.964
Fe -3.482 -0.364 0.083
La -7.207 2.016 2.328
```

Computed properties:
Formation enthalpy at 0 K   8.9 kcal/mol of atoms

=====

23.
This record from Alexandria describes a geometry-optimized TbFe6Sn4Ge2 structure. The functional is GGA-PBE.

Geometry as extended XYZ:
```
13
Lattice="2.947 0.756 -4.330 -5.226 0.810 -0.182 1.214 8.346 2.284" Properties=species:S:1:pos:R:3 pbc="T T T"
Tb 0.000 0.000 0.000
Fe -0.207 7.195 -0.501
Fe -0.858 2.718 -1.726
Fe -1.680 6.817 1.664
Fe -2.332 2.340 0.439
Fe 2.406 6.790 -0.410
Fe 1.755 2.313 -1.635
Sn 0.830 4.947 -1.805
Sn -1.895 4.965 -0.422
Sn 0.806 5.541 1.516
Sn 0.408 2.806 0.768
Ge 0.223 0.774 -2.947
Ge -2.502 0.792 -1.564
```

Computed properties:
Formation enthalpy at 0 K   -4.3 kcal/mol of atoms

=====

24.
This record from Alexandria describes a geometry-optimized Cs2SeI2Cl4 structure. The functional is GGA-PBE.

Geometry as extended XYZ:
```
9
Lattice="-5.895 4.330 -2.484 -1.546 -5.116 5.577 5.618 3.646 3.847" Properties=species:S:1:pos:R:3 pbc="T T T"
Cs -2.702 -0.761 3.902
Cs 0.880 3.621 3.038
Se 0.000 0.000 0.000
I 2.959 -1.068 6.849
I 1.113 -0.402 2.576
Cl -0.016 -3.244 5.208
Cl -0.174 1.324 5.988
Cl 4.088 1.775 4.217
Cl -1.649 1.536 0.952
```

Computed properties:
ΔE_f (raw)   -97 kJ per mole of atoms

=====

25.
This record from Alexandria describes a geometry-optimized SrCu2Mo structure. The functional is GGA-PBE.

Geometry as extended XYZ:
```
4
Lattice="0.000 3.397 3.397 3.397 0.000 3.397 3.397 3.397 0.000" Properties=species:S:1:pos:R:3 pbc="T T T"
Sr 0.000 0.000 0.000
Mo 3.397 3.397 3.397
Cu 1.699 1.699 1.699
Cu 5.096 5.096 5.096
```

Computed properties:
Formation enthalpy at 0 K   16.5 kcal/mol of atoms

=====

26.
This record from Alexandria describes a geometry-optimized La2P3 structure. The functional is GGA-PBE.

Geometry as extended XYZ:
```
5
Lattice="-3.993 0.964 2.935 0.495 -4.526 -2.182 3.058 -1.985 4.812" Properties=species:S:1:pos:R:3 pbc="T T T"
La -1.780 -1.331 2.358
La 1.340 -4.216 3.208
P 0.000 0.000 0.000
P -0.273 -2.310 4.730
P -0.167 -3.237 0.836
```

Computed properties:
Formation enthalpy at 0 K   -17.5 kcal/mol of atoms